(1)
Compound: Pm4Bi3P
Source: the Alexandria database
Functional: PBE
Structure: relaxed

a = 4.439 Å, b = 7.757 Å, c = 7.757 Å
α = 109.12°, β = 90.00°, γ = 90.00°
Fractional positions:
Pm: 0.500 0.239 0.761
Pm: 0.000 0.770 0.770
Pm: 0.000 0.230 0.230
Pm: 0.500 0.761 0.239
Bi: 0.500 0.500 0.500
Bi: 0.000 0.000 0.500
Bi: 0.000 0.500 0.000
P: 0.500 0.000 0.000

Summary:
energy of formation	-1043	meV/atom

=====

(2)
Compound: CsK2NaLi
Source: the Alexandria database
Functional: PBE
Structure: relaxed

a = 7.214 Å, b = 7.214 Å, c = 6.298 Å
α = 90.00°, β = 90.00°, γ = 90.00°
Fractional positions:
Li: 0.000 0.000 0.500
Na: 0.000 0.000 0.000
K: 0.000 0.500 0.000
K: 0.500 0.000 0.000
Cs: 0.500 0.500 0.500

Summary:
energy of formation	147	meV/atom
ΔE to the lowest computed polymorph	0.209	eV/f.u.

=====

(3)
Compound: LaTaS4
Source: the Alexandria database
Functional: PBE
Structure: relaxed

a = 7.709 Å, b = 7.709 Å, c = 7.709 Å
α = 75.26°, β = 75.26°, γ = 119.42°
Fractional positions:
S: 0.809 0.247 0.563
S: 0.191 0.753 0.437
S: 0.191 0.128 0.063
S: 0.747 0.309 0.063
S: 0.253 0.691 0.937
S: 0.372 0.309 0.437
S: 0.809 0.872 0.937
S: 0.628 0.691 0.563
Ta: 0.625 0.875 0.750
Ta: 0.375 0.125 0.250
La: 0.875 0.625 0.250
La: 0.125 0.375 0.750

Summary:
ΔE to the lowest computed polymorph	0.000	eV/f.u.
energy relative to the elements, uncorrected	-137	kJ/mol of atoms

=====

(4)
Compound: Pu2IO8
Source: the Alexandria database
Functional: PBE
Structure: relaxed

a = 4.669 Å, b = 5.891 Å, c = 6.991 Å
α = 126.40°, β = 90.00°, γ = 101.32°
Site moments in Bohr magnetons follow the coordinates.
Fractional positions:
O: 0.789 0.152 0.576  -0.17
O: 0.255 0.272 0.928  -0.13
O: 0.246 0.708 0.854  -0.12
O: 0.754 0.292 0.146  -0.12
O: 0.211 0.848 0.424  -0.17
O: 0.745 0.728 0.072  -0.13
O: 0.255 0.272 0.344  -0.13
O: 0.745 0.728 0.656  -0.13
Pu: 0.300 0.291 0.646  3.07
Pu: 0.700 0.709 0.354  3.07
I: 0.000 0.000 0.000  0.01

Summary:
energy relative to the elements, uncorrected	-163	kJ/mol of atoms

=====

(5)
Compound: LiDyThAl
Source: the Alexandria database
Functional: PBE
Structure: relaxed

a = 5.191 Å, b = 5.191 Å, c = 5.191 Å
α = 60.00°, β = 60.00°, γ = 60.00°
Fractional positions:
Th: 0.250 0.250 0.250
Li: 0.500 0.500 0.500
Dy: 0.750 0.750 0.750
Al: 0.000 0.000 0.000

Summary:
energy of formation	-122	meV/atom

=====

(6)
Compound: MgCoB
Source: the Alexandria database
Functional: PBE
Structure: relaxed

a = 3.652 Å, b = 4.979 Å, c = 8.798 Å
α = 90.00°, β = 90.00°, γ = 90.00°
Fractional positions:
Co: 0.250 0.628 0.448
Co: 0.750 0.372 0.552
Co: 0.250 0.128 0.052
Co: 0.750 0.872 0.948
B: 0.750 0.660 0.392
B: 0.250 0.340 0.608
B: 0.750 0.160 0.108
B: 0.250 0.840 0.892
Mg: 0.750 0.382 0.848
Mg: 0.750 0.882 0.652
Mg: 0.250 0.618 0.152
Mg: 0.250 0.118 0.348

Summary:
energy of formation	48	meV/atom
ΔE to the lowest computed polymorph	0.805	eV/f.u.

=====

(7)
Compound: NaMn3I
Source: the Alexandria database
Functional: PBE
Structure: relaxed

a = 4.933 Å, b = 4.933 Å, c = 4.933 Å
α = 90.00°, β = 90.00°, γ = 90.00°
Site moments in Bohr magnetons follow the coordinates.
Fractional positions:
Na: 0.500 0.500 0.500  -0.04
I: 0.000 0.000 0.000  -0.12
Mn: 0.500 0.000 0.000  3.42
Mn: 0.000 0.000 0.500  3.06
Mn: 0.000 0.500 0.000  3.27

Summary:
ΔE to the lowest computed polymorph	0.000	eV/f.u.
energy relative to the elements, uncorrected	120	kJ/mol of atoms

=====

(8)
Compound: Th2TlSi
Source: the Alexandria database
Functional: PBE
Structure: relaxed

a = 4.109 Å, b = 4.109 Å, c = 8.591 Å
α = 76.16°, β = 76.16°, γ = 60.00°
Fractional positions:
Th: 0.264 0.264 0.209
Th: 0.736 0.736 0.791
Si: 0.000 0.000 0.000
Tl: 0.500 0.500 0.500

Summary:
ΔE to the lowest computed polymorph	0.000	eV/f.u.
energy relative to the elements, uncorrected	-33	kJ/mol of atoms

=====

(9)
Compound: DyErSe3
Source: the Alexandria database
Functional: PBE
Structure: relaxed

a = 7.168 Å, b = 7.168 Å, c = 7.677 Å
α = 62.17°, β = 62.17°, γ = 60.00°
Fractional positions:
Se: 0.247 0.556 0.251
Se: 0.556 0.945 0.251
Se: 0.945 0.247 0.251
Se: 0.444 0.055 0.749
Se: 0.753 0.444 0.749
Se: 0.055 0.753 0.749
Dy: 0.348 0.348 0.955
Dy: 0.652 0.652 0.045
Er: 0.847 0.847 0.459
Er: 0.153 0.153 0.541

Summary:
ΔE to the lowest computed polymorph	0.000	eV/f.u.
energy relative to the elements, uncorrected	-178	kJ/mol of atoms

=====

(10)
Compound: Sm2TmAl4Au3
Source: the Alexandria database
Functional: PBE
Structure: relaxed

a = 4.299 Å, b = 4.299 Å, c = 11.776 Å
α = 90.00°, β = 90.00°, γ = 90.00°
Fractional positions:
Au: 0.000 0.000 0.500
Au: 0.500 0.000 0.877
Au: 0.000 0.500 0.123
Al: 0.500 0.000 0.665
Al: 0.500 0.500 0.000
Al: 0.000 0.000 0.000
Al: 0.000 0.500 0.335
Tm: 0.500 0.500 0.500
Sm: 0.500 0.000 0.232
Sm: 0.000 0.500 0.768

Summary:
energy of formation	-624	meV/atom

=====

(11)
Compound: Dy8Te4PbSe3
Source: the Alexandria database
Functional: PBE
Structure: relaxed

a = 8.487 Å, b = 8.600 Å, c = 8.488 Å
α = 119.58°, β = 120.00°, γ = 90.00°
Fractional positions:
Dy: 0.752 0.274 0.022
Dy: 0.752 0.274 0.504
Dy: 0.731 0.726 0.978
Dy: 0.248 0.726 0.978
Dy: 0.262 0.285 0.524
Dy: 0.738 0.715 0.476
Dy: 0.248 0.726 0.496
Dy: 0.269 0.274 0.022
Se: 0.000 0.500 0.500
Se: 0.500 0.500 0.000
Se: 0.500 0.500 0.500
Te: 0.000 0.000 0.500
Te: 0.500 0.000 0.500
Te: 0.500 0.000 0.000
Te: 0.000 0.000 0.000
Pb: 0.000 0.500 0.000

Summary:
energy relative to the elements, uncorrected	-133	kJ/mol of atoms

=====

(12)
Compound: BaCaAl
Source: the Alexandria database
Functional: PBE
Structure: relaxed

a = 5.606 Å, b = 5.606 Å, c = 5.606 Å
α = 60.00°, β = 60.00°, γ = 60.00°
Fractional positions:
Al: 0.750 0.750 0.750
Ba: 0.000 0.000 0.000
Ca: 0.500 0.500 0.500

Summary:
energy of formation	27	meV/atom
ΔE to the lowest computed polymorph	0.325	eV/f.u.

=====

Spin magnetization? In order: 0.00, 0.00, 0.00, 4.99, 0.00, 0.00, 9.34, 0.00, 0.00, 0.00, 0.00, 0.00 μB/f.u..
Calculated volume? In order: 252.38, 327.77, 344.56, 150.11, 98.88, 159.99, 120.02, 120.75, 287.76, 217.60, 440.86, 124.59 Å³ per cell.